PmSm2V | GGA-PBE | relaxed

a = 3.430 Å, b = 3.430 Å, c = 11.844 Å
α = 81.67°, β = 81.67°, γ = 60.00°
Last column: magnetic moment on the atom in μB.
Atoms (fractional coordinates):
Sm (0.920, 0.920, 0.241)  0.02
Sm (0.080, 0.080, 0.759)  0.02
V (0.000, 0.000, 0.000)  2.65
Pm (0.500, 0.500, 0.500)  0.01

Values from the calculation:
As for the space-group type: No. 166. The value obtained for the total DFT energy (no corrections) is -5.20 eV/atom. The calculation puts the magnetization at 0.81 μB per atom. For the energy of formation, the calculation gives 2.507 eV/f.u. The value obtained for the density of states at the Fermi level is 5.630 states/eV per cell.

***

Pm2SmY4 | GGA-PBE | relaxed

a = 3.577 Å, b = 8.851 Å, c = 8.656 Å
α = 119.16°, β = 101.92°, γ = 90.02°
Atoms (fractional coordinates):
Y (0.295, 0.707, 0.588)
Y (0.645, 0.842, 0.290)
Y (0.705, 0.293, 0.412)
Y (0.355, 0.158, 0.710)
Sm (0.000, 0.000, 0.000)
Pm (0.932, 0.571, 0.862)
Pm (0.068, 0.429, 0.138)

Values from the calculation:
As for the space-group type: No. 12. The value obtained for the total DFT energy (no corrections) is -5.69 eV/atom. The calculation puts the magnetization at 0.00 μB per atom. The relative energy among the computed polymorphs is 0 meV per atom. For the energy of formation, the calculation gives 0.249 eV/f.u. The value obtained for the density of states at the Fermi level is 10.916 states/eV per cell.

***

Pm7Sm2Y3 | GGA-PBE | relaxed

a = 3.645 Å, b = 5.907 Å, c = 19.047 Å
α = 93.57°, β = 90.00°, γ = 90.00°
Atoms (fractional coordinates):
Y (0.500, 0.500, 0.000)
Y (0.000, 0.783, 0.632)
Y (0.000, 0.217, 0.368)
Sm (0.500, 0.705, 0.297)
Sm (0.500, 0.295, 0.703)
Pm (0.000, 0.678, 0.144)
Pm (0.500, 0.258, 0.536)
Pm (0.500, 0.821, 0.820)
Pm (0.500, 0.179, 0.180)
Pm (0.000, 0.322, 0.856)
Pm (0.000, 0.000, 0.000)
Pm (0.500, 0.742, 0.464)

Values from the calculation:
As for the space-group type: No. 10. The value obtained for the total DFT energy (no corrections) is -5.09 eV/atom. The calculation puts the magnetization at 0.00 μB per atom. The relative energy among the computed polymorphs is 0 meV per atom. For the energy of formation, the calculation gives 0.982 eV/f.u. The value obtained for the density of states at the Fermi level is 17.088 states/eV per cell.

***

PmSm4Y8 | GGA-PBE | relaxed

a = 11.090 Å, b = 11.090 Å, c = 7.839 Å
α = 90.00°, β = 135.02°, γ = 120.00°
Last column: magnetic moment on the atom in μB.
Atoms (fractional coordinates):
Y (0.520, 0.760, 0.760)  0.06
Y (0.000, 0.760, 0.760)  0.06
Y (0.000, 0.760, 0.240)  0.06
Y (0.521, 0.760, 0.281)  0.07
Y (0.479, 0.240, 0.719)  0.07
Y (0.000, 0.240, 0.760)  0.06
Y (0.480, 0.240, 0.240)  0.06
Y (0.000, 0.240, 0.240)  0.06
Sm (0.500, 0.500, 0.000)  0.18
Sm (0.000, 0.000, 0.000)  -0.09
Sm (0.500, 0.000, 0.000)  0.18
Sm (0.000, 0.500, 0.000)  0.18
Pm (0.000, 0.500, 0.500)  0.08

Values from the calculation:
As for the space-group type: No. 166. The value obtained for the total DFT energy (no corrections) is -5.28 eV/atom. The calculation puts the magnetization at 0.14 μB per atom. For the energy of formation, the calculation gives 6.650 eV/f.u. The value obtained for the density of states at the Fermi level is 21.058 states/eV per cell.